No. 1
LuNpSn2 (GGA-PBE, relaxed); ΔE to the lowest computed polymorph = 112.6 meV per atom; V = 106.4 Å³ per cell; raw total energy = -6.481 eV per atom; magnetization = 4.5 μB per cell
1.0
1.7533 1.0123 9.9886
-1.7533 1.0123 9.9886
0.0000 -2.0246 9.9886
Lu Np Sn
1 1 2
direct
0.0000 0.0000 0.0000
0.5000 0.5000 0.5000
0.2521 0.2521 0.2521
0.7479 0.7479 0.7479

No. 2
Sm2Cr2C3 (GGA-PBE, relaxed); V = 99.6 Å³ per cell; raw total energy = -8.294 eV per atom; magnetization = 0.0 μB per cell
1.0
5.1818 -1.7481 0.0000
5.1818 1.7481 0.0000
-1.5171 0.0000 5.4980
Sm Cr C
2 2 3
direct
0.1016 0.1016 0.3175
0.8984 0.8984 0.6825
0.3408 0.3408 0.1028
0.6592 0.6592 0.8972
0.2052 0.2052 0.7831
0.5000 0.5000 0.0000
0.7948 0.7948 0.2169